The following is a GGA-PBE calculation of an optimized crystal structure of CdAsRuO5, from Alexandria.

Unit cell a=5.6734 b=5.6734 c=7.2443 alpha=104.85 beta=104.85 gamma=103.83
Fractional coordinates of all 16 atoms:
1 Cd 0.1747 0.8253 0.7500
2 Cd 0.8253 0.1747 0.2500
3 As 0.1769 0.8231 0.2500
4 As 0.8231 0.1769 0.7500
5 Ru 0.5000 0.5000 0.0000
6 Ru 0.5000 0.5000 0.5000
7 O 0.1315 0.2301 0.9141
8 O 0.1769 0.6089 0.3861
9 O 0.2301 0.1315 0.4141
10 O 0.3911 0.8231 0.1139
11 O 0.4217 0.5783 0.7500
12 O 0.5783 0.4217 0.2500
13 O 0.6089 0.1769 0.8861
14 O 0.7699 0.8685 0.5859
15 O 0.8231 0.3911 0.6139
16 O 0.8685 0.7699 0.0859

## Properties
total energy	-5.98	eV per atom
crystal system	monoclinic